Run P
Material: PmHoCuPd
Method: DFT, PBE
State: optimized geometry

abc: 7.0704 7.0704 7.0704
angles: 90.00 90.00 90.00
Sites, in units of the cell vectors:
Pm 0.0000 0.0000 0.0000
Pm 0.0000 0.5000 0.5000
Pm 0.5000 0.0000 0.5000
Pm 0.5000 0.5000 0.0000
Ho 0.0000 0.0000 0.5000
Ho 0.0000 0.5000 0.0000
Ho 0.5000 0.0000 0.0000
Ho 0.5000 0.5000 0.5000
Cu 0.2500 0.2500 0.7500
Cu 0.2500 0.7500 0.2500
Cu 0.7500 0.2500 0.2500
Cu 0.7500 0.7500 0.7500
Pd 0.2500 0.2500 0.2500
Pd 0.2500 0.7500 0.7500
Pd 0.7500 0.2500 0.7500
Pd 0.7500 0.7500 0.2500

Calculated values
Space group ... No. 216

---

Run Q
Material: PmHoCuPd
Method: DFT, PBE
State: optimized geometry

abc: 4.5920 3.7937 10.5058
angles: 90.00 90.00 90.00
Sites, in units of the cell vectors:
Pm 0.0000 0.0000 0.0000
Pm 0.0000 0.5000 0.5000
Ho 0.5000 0.0000 0.2774
Ho 0.5000 0.5000 0.7774
Cu 0.0000 0.0000 0.7185
Cu 0.0000 0.5000 0.2185
Pd 0.5000 0.0000 0.5650
Pd 0.5000 0.5000 0.0650

Calculated values
Space group ... No. 38

---

It is run Q that is the most stable of them.